Entry 1:
The following is a PBE-GGA calculation of a relaxed structure of La8NdDy3, from Alexandria.

a b c (Å): 9.2539 9.2539 9.2539
angles (deg): 139.88 121.57 73.25
Atoms (fractional coordinates):
La 0.1347 0.6275 0.1989
La 0.2289 0.2744 0.6952
La 0.4209 0.7256 0.9545
La 0.4286 0.9358 0.8011
La 0.5714 0.3725 0.5072
La 0.5791 0.5336 0.3048
La 0.7711 0.4664 0.0455
La 0.8653 0.0642 0.4928
Nd 0.5000 0.0000 0.5000
Dy 0.0000 0.5000 0.5000
Dy 0.1147 0.1147 0.0000
Dy 0.8853 0.8853 0.0000

Values from the calculation:
Total DFT energy (no corrections): -4.57 eV/atom
ΔE_f: 25.0 kJ per mole of atoms
ρ: 6.80 g/cm3
Calculated volume: 35.5 Å³ per atom


Entry 2:
The following is a PBE-GGA calculation of a relaxed structure of La4NdDy7, from Alexandria.

a b c (Å): 3.6286 3.6286 35.2820
angles (deg): 90.00 90.00 120.00
Atoms (fractional coordinates):
La 0.3333 0.6667 0.1669
La 0.3333 0.6667 0.4162
La 0.6667 0.3333 0.5838
La 0.6667 0.3333 0.8331
Nd 0.0000 0.0000 0.0000
Dy 0.0000 0.0000 0.2513
Dy 0.0000 0.0000 0.5000
Dy 0.0000 0.0000 0.7487
Dy 0.3333 0.6667 0.6682
Dy 0.3333 0.6667 0.9174
Dy 0.6667 0.3333 0.0826
Dy 0.6667 0.3333 0.3318

Values from the calculation:
Total DFT energy (no corrections): -4.71 eV/atom
ΔE_f: 1.6 kJ per mole of atoms
ρ: 7.58 g/cm3
Energy above the lowest structure with this stoichiometry: 0.0 meV/atom
Calculated volume: 33.5 Å³ per atom


Entry 3:
The following is a PBE-GGA calculation of a relaxed structure of La3Nd2Dy3, from Alexandria.

a b c (Å): 11.0198 11.0198 11.0198
angles (deg): 153.17 152.77 38.60
Atoms (fractional coordinates):
La 0.0000 0.0000 0.0000
La 0.3775 0.8775 0.5000
La 0.6225 0.1225 0.5000
Nd 0.2489 0.2489 0.0000
Nd 0.7511 0.7511 0.0000
Dy 0.1259 0.6259 0.5000
Dy 0.5000 0.5000 0.0000
Dy 0.8741 0.3741 0.5000

Values from the calculation:
Total DFT energy (no corrections): -4.74 eV/atom
ΔE_f: 2.3 kJ per mole of atoms
ρ: 7.18 g/cm3
Energy above the lowest structure with this stoichiometry: 0.0 meV/atom
Calculated volume: 34.5 Å³ per atom


Entry 4:
The following is a PBE-GGA calculation of a relaxed structure of La5NdDy3, from Alexandria.

a b c (Å): 10.0673 10.0673 11.4873
angles (deg): 113.57 113.57 38.35
Atoms (fractional coordinates):
La 0.0265 0.6365 0.2871
La 0.0961 0.9039 0.7500
La 0.1556 0.5042 0.6394
La 0.3635 0.9735 0.2129
La 0.4958 0.8444 0.8606
La 0.5042 0.1556 0.1394
La 0.6365 0.0265 0.7871
La 0.8444 0.4958 0.3606
La 0.9039 0.0961 0.2500
La 0.9735 0.3635 0.7129
Nd 0.3632 0.6368 0.2500
Nd 0.6368 0.3632 0.7500
Dy 0.0474 0.6319 0.9855
Dy 0.3681 0.9526 0.5145
Dy 0.5000 0.5000 0.0000
Dy 0.5000 0.5000 0.5000
Dy 0.6319 0.0474 0.4855
Dy 0.9526 0.3681 0.0145

Values from the calculation:
Total DFT energy (no corrections): -4.56 eV/atom
ΔE_f: 23.2 kJ per mole of atoms
ρ: 6.73 g/cm3
Energy above the lowest structure with this stoichiometry: 0.0 meV/atom
Calculated volume: 36.4 Å³ per atom


Entry 5:
The following is a PBE-GGA calculation of a relaxed structure of La3Nd7Dy, from Alexandria.

a b c (Å): 8.6863 8.6863 8.6863
angles (deg): 139.42 97.37 96.44
Atoms (fractional coordinates):
La 0.0000 0.0000 0.0000
La 0.2125 0.5000 0.7125
La 0.7875 0.5000 0.2875
Nd 0.0060 0.8015 0.2044
Nd 0.2090 0.7090 0.5000
Nd 0.4029 0.1985 0.2044
Nd 0.5000 0.5000 0.0000
Nd 0.5971 0.8015 0.7956
Nd 0.7910 0.2910 0.5000
Nd 0.9940 0.1985 0.7956
Dy 0.5000 0.0000 0.5000

Values from the calculation:
Total DFT energy (no corrections): -4.57 eV/atom
ΔE_f: 21.7 kJ per mole of atoms
ρ: 6.60 g/cm3
Energy above the lowest structure with this stoichiometry: 11.0 meV/atom
Calculated volume: 36.4 Å³ per atom


Entry 6:
The following is a PBE-GGA calculation of a relaxed structure of La6Nd3Dy, from Alexandria.

a b c (Å): 11.2514 11.2514 6.6529
angles (deg): 90.00 90.00 121.65
Atoms (fractional coordinates):
La 0.0312 0.9688 0.5000
La 0.0706 0.4852 0.9838
La 0.2817 0.7183 0.6932
La 0.2866 0.3663 0.7965
La 0.3663 0.2866 0.2965
La 0.4852 0.0706 0.4838
La 0.5148 0.9294 0.9838
La 0.6337 0.7134 0.7965
La 0.7134 0.6337 0.2965
La 0.7183 0.2817 0.1932
La 0.9294 0.5148 0.4838
La 0.9688 0.0312 0.0000
Nd 0.0567 0.2948 0.3901
Nd 0.2948 0.0567 0.8901
Nd 0.3844 0.6156 0.2733
Nd 0.6156 0.3844 0.7733
Nd 0.7052 0.9433 0.3901
Nd 0.9433 0.7052 0.8901
Dy 0.1873 0.8127 0.2479
Dy 0.8127 0.1873 0.7479

Values from the calculation:
Total DFT energy (no corrections): -4.73 eV/atom
ΔE_f: 10.8 kJ per mole of atoms
ρ: 6.62 g/cm3
Energy above the lowest structure with this stoichiometry: 0.0 meV/atom
Calculated volume: 35.8 Å³ per atom


Entry 7:
The following is a PBE-GGA calculation of a relaxed structure of La5NdDy, from Alexandria.

a b c (Å): 9.4730 9.4730 9.2093
angles (deg): 93.89 93.89 141.10
Atoms (fractional coordinates):
La 0.0186 0.3901 0.6488
La 0.1417 0.8583 0.7500
La 0.2396 0.5449 0.0351
La 0.3901 0.0186 0.1488
La 0.4551 0.7604 0.4649
La 0.5449 0.2396 0.5351
La 0.6099 0.9814 0.8512
La 0.7604 0.4551 0.9649
La 0.8583 0.1417 0.2500
La 0.9814 0.6099 0.3512
Nd 0.0000 0.0000 0.0000
Nd 0.0000 0.0000 0.5000
Dy 0.4898 0.5102 0.7500
Dy 0.5102 0.4898 0.2500

Values from the calculation:
Total DFT energy (no corrections): -4.71 eV/atom
ΔE_f: 14.5 kJ per mole of atoms
ρ: 6.54 g/cm3
Energy above the lowest structure with this stoichiometry: 27.0 meV/atom
Calculated volume: 36.3 Å³ per atom


Entry 8:
The following is a PBE-GGA calculation of a relaxed structure of La2Nd8Dy, from Alexandria.

a b c (Å): 9.5434 9.5434 6.0638
angles (deg): 105.21 105.21 122.10
Atoms (fractional coordinates):
La 0.1933 0.8067 0.0000
La 0.8067 0.1933 0.0000
Nd 0.0802 0.0802 0.2967
Nd 0.1718 0.4009 0.8242
Nd 0.2947 0.7053 0.5000
Nd 0.4009 0.1718 0.8242
Nd 0.5991 0.8282 0.1758
Nd 0.7053 0.2947 0.5000
Nd 0.8282 0.5991 0.1758
Nd 0.9198 0.9198 0.7033
Dy 0.5000 0.5000 0.5000

Values from the calculation:
Total DFT energy (no corrections): -4.65 eV/atom
ΔE_f: 13.1 kJ per mole of atoms
ρ: 6.73 g/cm3
Energy above the lowest structure with this stoichiometry: 18.0 meV/atom
Calculated volume: 35.7 Å³ per atom


Entry 9:
The following is a PBE-GGA calculation of a relaxed structure of LaNd15Dy4, from Alexandria.

a b c (Å): 5.1801 5.1801 25.8298
angles (deg): 90.00 90.00 90.00
Atoms (fractional coordinates):
La 0.0000 0.0000 0.0000
Nd 0.0000 0.5000 0.1025
Nd 0.0000 0.5000 0.3012
Nd 0.0000 0.5000 0.5000
Nd 0.0000 0.5000 0.6988
Nd 0.0000 0.5000 0.8975
Nd 0.5000 0.0000 0.1025
Nd 0.5000 0.0000 0.3012
Nd 0.5000 0.0000 0.5000
Nd 0.5000 0.0000 0.6988
Nd 0.5000 0.0000 0.8975
Nd 0.5000 0.5000 0.0000
Nd 0.5000 0.5000 0.2027
Nd 0.5000 0.5000 0.4006
Nd 0.5000 0.5000 0.5994
Nd 0.5000 0.5000 0.7973
Dy 0.0000 0.0000 0.2017
Dy 0.0000 0.0000 0.4007
Dy 0.0000 0.0000 0.5993
Dy 0.0000 0.0000 0.7983

Values from the calculation:
Total DFT energy (no corrections): -4.73 eV/atom
ΔE_f: 1.4 kJ per mole of atoms
ρ: 7.07 g/cm3
Calculated volume: 34.7 Å³ per atom


Entry 10:
The following is a PBE-GGA calculation of a relaxed structure of La3Nd7Dy2, from Alexandria.

a b c (Å): 12.0533 12.0533 12.0533
angles (deg): 32.30 32.30 32.30
Atoms (fractional coordinates):
La 0.0000 0.0000 0.0000
La 0.1517 0.1517 0.1517
La 0.8483 0.8483 0.8483
Nd 0.0797 0.5855 0.5855
Nd 0.4145 0.4145 0.9203
Nd 0.4145 0.9203 0.4145
Nd 0.5000 0.5000 0.5000
Nd 0.5855 0.0797 0.5855
Nd 0.5855 0.5855 0.0797
Nd 0.9203 0.4145 0.4145
Dy 0.3340 0.3340 0.3340
Dy 0.6660 0.6660 0.6660

Values from the calculation:
Total DFT energy (no corrections): -4.53 eV/atom
ΔE_f: 24.3 kJ per mole of atoms
ρ: 6.54 g/cm3
Energy above the lowest structure with this stoichiometry: 170.5 meV/atom
Calculated volume: 37.0 Å³ per atom


Entry 11:
The following is a PBE-GGA calculation of a relaxed structure of LaNd3Dy3, from Alexandria.

a b c (Å): 9.0149 9.0149 9.0149
angles (deg): 58.24 58.24 58.24
Atoms (fractional coordinates):
La 0.1540 0.1540 0.1540
La 0.8460 0.8460 0.8460
Nd 0.0680 0.5699 0.2216
Nd 0.2216 0.0680 0.5699
Nd 0.4301 0.7784 0.9320
Nd 0.5699 0.2216 0.0680
Nd 0.7784 0.9320 0.4301
Nd 0.9320 0.4301 0.7784
Dy 0.2156 0.6715 0.4367
Dy 0.3285 0.5633 0.7844
Dy 0.4367 0.2156 0.6715
Dy 0.5633 0.7844 0.3285
Dy 0.6715 0.4367 0.2156
Dy 0.7844 0.3285 0.5633

Values from the calculation:
Total DFT energy (no corrections): -4.53 eV/atom
ΔE_f: 18.6 kJ per mole of atoms
ρ: 7.07 g/cm3
Energy above the lowest structure with this stoichiometry: 164.6 meV/atom
Calculated volume: 35.5 Å³ per atom


Entry 12:
The following is a PBE-GGA calculation of a relaxed structure of La5Nd4Dy2, from Alexandria.

a b c (Å): 12.4720 12.4720 8.9052
angles (deg): 94.49 94.49 16.64
Atoms (fractional coordinates):
La 0.0000 0.0000 0.0000
La 0.3174 0.3174 0.5249
La 0.3686 0.3686 0.9519
La 0.6314 0.6314 0.0481
La 0.6826 0.6826 0.4751
Nd 0.2267 0.2267 0.8253
Nd 0.4603 0.4603 0.6527
Nd 0.5397 0.5397 0.3473
Nd 0.7733 0.7733 0.1747
Dy 0.0866 0.0866 0.6960
Dy 0.9134 0.9134 0.3040

Values from the calculation:
Total DFT energy (no corrections): -4.72 eV/atom
ΔE_f: 8.5 kJ per mole of atoms
ρ: 6.70 g/cm3
Energy above the lowest structure with this stoichiometry: 13.7 meV/atom
Calculated volume: 36.0 Å³ per atom


Entry 13:
The following is a PBE-GGA calculation of a relaxed structure of La6Nd5Dy2, from Alexandria.

a b c (Å): 11.9051 21.3157 3.6859
angles (deg): 90.00 90.00 90.00
Atoms (fractional coordinates):
La 0.0642 0.0807 0.0000
La 0.0831 0.3683 0.0000
La 0.1735 0.6391 0.5000
La 0.3265 0.1391 0.5000
La 0.4169 0.8683 0.0000
La 0.4358 0.5807 0.0000
La 0.5642 0.4193 0.0000
La 0.5831 0.1317 0.0000
La 0.6735 0.8609 0.5000
La 0.8265 0.3609 0.5000
La 0.9169 0.6317 0.0000
La 0.9358 0.9193 0.0000
Nd 0.0000 0.5000 0.5000
Nd 0.0907 0.2276 0.5000
Nd 0.1959 0.9438 0.5000
Nd 0.3041 0.4438 0.5000
Nd 0.4093 0.7276 0.5000
Nd 0.5000 0.0000 0.5000
Nd 0.5907 0.2724 0.5000
Nd 0.6959 0.5562 0.5000
Nd 0.8041 0.0562 0.5000
Nd 0.9093 0.7724 0.5000
Dy 0.1663 0.7905 0.0000
Dy 0.3337 0.2905 0.0000
Dy 0.6663 0.7095 0.0000
Dy 0.8337 0.2095 0.0000

Values from the calculation:
Total DFT energy (no corrections): -4.72 eV/atom
ΔE_f: 8.8 kJ per mole of atoms
ρ: 6.67 g/cm3
Calculated volume: 36.0 Å³ per atom


Entry 14:
The following is a PBE-GGA calculation of a relaxed structure of La2Nd7Dy2, from Alexandria.

a b c (Å): 8.7349 8.7349 15.9704
angles (deg): 109.87 109.87 43.20
Atoms (fractional coordinates):
La 0.0297 0.6951 0.5224
La 0.3049 0.9703 0.9776
La 0.6951 0.0297 0.0224
La 0.9703 0.3049 0.4776
Nd 0.1190 0.7864 0.3406
Nd 0.1527 0.4829 0.1159
Nd 0.2136 0.8810 0.1594
Nd 0.2428 0.5710 0.9292
Nd 0.3307 0.6693 0.7500
Nd 0.4290 0.7572 0.5708
Nd 0.4829 0.1527 0.6159
Nd 0.5171 0.8473 0.3841
Nd 0.5710 0.2428 0.4292
Nd 0.6693 0.3307 0.2500
Nd 0.7572 0.4290 0.0707
Nd 0.7864 0.1190 0.8406
Nd 0.8473 0.5171 0.8841
Nd 0.8810 0.2136 0.6594
Dy 0.0612 0.3927 0.2936
Dy 0.3927 0.0612 0.7936
Dy 0.6073 0.9388 0.2064
Dy 0.9388 0.6073 0.7064

Values from the calculation:
Total DFT energy (no corrections): -4.73 eV/atom
ΔE_f: 3.1 kJ per mole of atoms
ρ: 6.90 g/cm3
Energy above the lowest structure with this stoichiometry: 0.0 meV/atom
Calculated volume: 35.3 Å³ per atom


Entry 15:
The following is a PBE-GGA calculation of a relaxed structure of La7NdDy2, from Alexandria.

a b c (Å): 9.2931 9.2931 5.8226
angles (deg): 90.00 90.00 121.54
Atoms (fractional coordinates):
La 0.0000 0.0000 0.0000
La 0.2015 0.4336 0.0000
La 0.2621 0.7379 0.5000
La 0.4336 0.2015 0.0000
La 0.5664 0.7985 0.0000
La 0.7379 0.2621 0.5000
La 0.7985 0.5664 0.0000
Nd 0.5000 0.5000 0.5000
Dy 0.2033 0.7967 0.0000
Dy 0.7967 0.2033 0.0000

Values from the calculation:
Total DFT energy (no corrections): -4.26 eV/atom
ΔE_f: 56.7 kJ per mole of atoms
ρ: 5.59 g/cm3
Energy above the lowest structure with this stoichiometry: 264.3 meV/atom
Calculated volume: 42.9 Å³ per atom


Entry 16:
The following is a PBE-GGA calculation of a relaxed structure of LaNd3Dy, from Alexandria.

a b c (Å): 9.5218 9.5218 6.1115
angles (deg): 108.65 108.65 42.48
Atoms (fractional coordinates):
La 0.0000 0.0000 0.0000
La 0.0000 0.0000 0.5000
Nd 0.1140 0.5798 0.5971
Nd 0.2273 0.2273 0.9766
Nd 0.4202 0.8860 0.4029
Nd 0.5798 0.1140 0.5971
Nd 0.7727 0.7727 0.0234
Nd 0.8860 0.4202 0.4029
Dy 0.4497 0.4497 0.1998
Dy 0.5503 0.5503 0.8002

Values from the calculation:
Total DFT energy (no corrections): -4.59 eV/atom
ΔE_f: 17.1 kJ per mole of atoms
ρ: 6.94 g/cm3
Energy above the lowest structure with this stoichiometry: 0.0 meV/atom
Calculated volume: 35.2 Å³ per atom


Entry 17:
The following is a PBE-GGA calculation of a relaxed structure of La8NdDy6, from Alexandria.

a b c (Å): 8.8534 8.8534 8.8534
angles (deg): 62.74 62.74 62.74
Atoms (fractional coordinates):
La 0.0779 0.0779 0.0779
La 0.2123 0.6154 0.2530
La 0.2530 0.2123 0.6154
La 0.3846 0.7470 0.7877
La 0.6154 0.2530 0.2123
La 0.7470 0.7877 0.3846
La 0.7877 0.3846 0.7470
La 0.9221 0.9221 0.9221
Nd 0.5000 0.5000 0.5000
Dy 0.0373 0.5947 0.7534
Dy 0.2466 0.9627 0.4053
Dy 0.4053 0.2466 0.9627
Dy 0.5947 0.7534 0.0373
Dy 0.7534 0.0373 0.5947
Dy 0.9627 0.4053 0.2466

Values from the calculation:
Total DFT energy (no corrections): -4.67 eV/atom
ΔE_f: 11.3 kJ per mole of atoms
ρ: 7.11 g/cm3
Calculated volume: 34.7 Å³ per atom


Entry 18:
The following is a PBE-GGA calculation of a relaxed structure of La3Nd5Dy4, from Alexandria.

a b c (Å): 8.7693 8.7693 9.4150
angles (deg): 114.84 114.84 40.39
Atoms (fractional coordinates):
La 0.0000 0.0000 0.0000
La 0.2946 0.2946 0.7815
La 0.7054 0.7054 0.2185
Nd 0.0762 0.0762 0.7000
Nd 0.1733 0.1733 0.3938
Nd 0.5000 0.5000 0.0000
Nd 0.8267 0.8267 0.6062
Nd 0.9238 0.9238 0.3000
Dy 0.2907 0.2907 0.1305
Dy 0.4204 0.4204 0.5629
Dy 0.5796 0.5796 0.4371
Dy 0.7093 0.7093 0.8695

Values from the calculation:
Total DFT energy (no corrections): -4.54 eV/atom
ΔE_f: 21.0 kJ per mole of atoms
ρ: 7.08 g/cm3
Energy above the lowest structure with this stoichiometry: 197.5 meV/atom
Calculated volume: 35.0 Å³ per atom


Entry 19:
The following is a PBE-GGA calculation of a relaxed structure of La3Nd8Dy3, from Alexandria.

a b c (Å): 9.9543 9.9543 9.9543
angles (deg): 146.38 113.09 77.01
Atoms (fractional coordinates):
La 0.0000 0.0000 0.0000
La 0.3100 0.0000 0.3100
La 0.6900 0.0000 0.6900
Nd 0.0594 0.3961 0.6633
Nd 0.0670 0.2249 0.8422
Nd 0.2672 0.6039 0.6633
Nd 0.3827 0.2249 0.1578
Nd 0.6173 0.7751 0.8422
Nd 0.7328 0.3961 0.3367
Nd 0.9330 0.7751 0.1578
Nd 0.9406 0.6039 0.3367
Dy 0.3139 0.8139 0.5000
Dy 0.5000 0.5000 0.0000
Dy 0.6861 0.1861 0.5000

Values from the calculation:
Total DFT energy (no corrections): -4.65 eV/atom
ΔE_f: 11.0 kJ per mole of atoms
ρ: 6.94 g/cm3
Calculated volume: 35.2 Å³ per atom